# YMnZnO2 | Alexandria via LeMat-Bulk | GGA+U | optimized geometry
data_YMnZnO2
_chemical_formula_sum 'Y1 Mn1 Zn1 O2'
_symmetry_space_group_name_H-M 'P 4/m m m'
_symmetry_Int_Tables_number 123
_symmetry_space_group_name_Hall '-P 4 2'
_cell_length_a 4.1283
_cell_length_b 4.1283
_cell_length_c 4.6365
_cell_angle_alpha 90.00
_cell_angle_beta 90.00
_cell_angle_gamma 90.00
loop_
_atom_site_label
_atom_site_fract_x
_atom_site_fract_y
_atom_site_fract_z
Y1 0.0000 0.0000 0.0000
Mn1 0.5000 0.5000 0.0000
Zn1 0.5000 0.5000 0.5000
O1 0.0000 0.5000 0.5000
# M_tot ... 4.063 Bohr magnetons per cell
# Electronic total energy ... -5.285 eV per atom